(1)
# PBE CdHgAu2, relaxed
# energy of formation from the pure elements: -0.0237 eV per atom
data_CdHgAu2
_symmetry_space_group_name_H-M 'P 1 2/c 1'
_symmetry_Int_Tables_number 13
_symmetry_space_group_name_Hall '-P 2yc'
_cell_length_a 5.671
_cell_length_b 5.783
_cell_length_c 11.323
_cell_angle_alpha 90.00
_cell_angle_beta 114.58
_cell_angle_gamma 90.00
loop_
_atom_site_label
_atom_site_fract_x
_atom_site_fract_y
_atom_site_fract_z
_atom_site_occupancy
Cd1 0.249 0.142 0.376 1
Hg1 0.144 0.226 0.627 1
Au1 0.260 0.280 0.135 1
Au2 0.374 0.351 0.893 1



(2)
# PBE SrHg3P, relaxed
# energy of formation from the pure elements: 0.0133 eV per atom
data_SrHg3P
_symmetry_space_group_name_H-M 'P m -3 m'
_symmetry_Int_Tables_number 221
_symmetry_space_group_name_Hall '-P 4 2 3'
_cell_length_a 5.263
_cell_length_b 5.263
_cell_length_c 5.263
_cell_angle_alpha 90.00
_cell_angle_beta 90.00
_cell_angle_gamma 90.00
loop_
_atom_site_label
_atom_site_fract_x
_atom_site_fract_y
_atom_site_fract_z
_atom_site_occupancy
Sr1 0.000 0.000 0.000 1
Hg1 0.000 0.500 0.500 1
P1 0.500 0.500 0.500 1



(3)
# PBE BaLiOs2, relaxed
# energy of formation from the pure elements: 1.0190 eV per atom
data_BaLiOs2
_symmetry_space_group_name_H-M 'P 4/m m m'
_symmetry_Int_Tables_number 123
_symmetry_space_group_name_Hall '-P 4 2'
_cell_length_a 3.842
_cell_length_b 3.842
_cell_length_c 5.211
_cell_angle_alpha 90.00
_cell_angle_beta 90.00
_cell_angle_gamma 90.00
loop_
_atom_site_label
_atom_site_fract_x
_atom_site_fract_y
_atom_site_fract_z
_atom_site_occupancy
Ba1 0.000 0.000 0.000 1
Li1 0.500 0.500 0.000 1
Os1 0.000 0.500 0.500 1



(4)
# PBE GdTmGe2, relaxed
# energy of formation from the pure elements: -0.6448 eV per atom
data_GdTmGe2
_symmetry_space_group_name_H-M 'P 4/m m m'
_symmetry_Int_Tables_number 123
_symmetry_space_group_name_Hall '-P 4 2'
_cell_length_a 3.351
_cell_length_b 3.351
_cell_length_c 8.009
_cell_angle_alpha 90.00
_cell_angle_beta 90.00
_cell_angle_gamma 90.00
loop_
_atom_site_label
_atom_site_fract_x
_atom_site_fract_y
_atom_site_fract_z
_atom_site_occupancy
Gd1 0.000 0.000 0.000 1
Tm1 0.000 0.000 0.500 1
Ge1 0.500 0.500 0.256 1



(5)
# PBE SbTeH3, relaxed
# E: -14.0 eV for the cell shown
data_SbTeH3
_symmetry_space_group_name_H-M 'P m -3 m'
_symmetry_Int_Tables_number 221
_symmetry_space_group_name_Hall '-P 4 2 3'
_cell_length_a 4.086
_cell_length_b 4.086
_cell_length_c 4.086
_cell_angle_alpha 90.00
_cell_angle_beta 90.00
_cell_angle_gamma 90.00
loop_
_atom_site_label
_atom_site_fract_x
_atom_site_fract_y
_atom_site_fract_z
_atom_site_occupancy
Sb1 0.000 0.000 0.000 1
Te1 0.500 0.500 0.500 1
H1 0.000 0.000 0.500 1



(6)
# PBE Ce5Np3S8, relaxed
# E_form (uncorrected): -1.801 eV/atom
data_Ce5Np3S8
_symmetry_space_group_name_H-M 'R -3 m'
_symmetry_Int_Tables_number 166
_symmetry_space_group_name_Hall '-R 3 2"'
_cell_length_a 7.9469
_cell_length_b 7.9469
_cell_length_c 19.4083
_cell_angle_alpha 90.00
_cell_angle_beta 90.00
_cell_angle_gamma 120.00
loop_
_atom_site_label
_atom_site_fract_x
_atom_site_fract_y
_atom_site_fract_z
_atom_site_occupancy
Ce1 0.0000 0.0000 0.0000 1
Ce2 0.0000 0.0000 0.5000 1
Ce3 0.0000 0.5000 0.0000 1
Np1 0.0000 0.5000 0.5000 1
S1 0.0000 0.0000 0.2461 1
S2 0.0046 0.5023 0.7523 1



(7)
# PBE NaLa2S2, relaxed
# E_form (uncorrected): -1.463 eV/atom
data_NaLa2S2
_symmetry_space_group_name_H-M 'P 4/m b m'
_symmetry_Int_Tables_number 127
_symmetry_space_group_name_Hall '-P 4 2ab'
_cell_length_a 7.932
_cell_length_b 7.932
_cell_length_c 3.897
_cell_angle_alpha 90.00
_cell_angle_beta 90.00
_cell_angle_gamma 90.00
loop_
_atom_site_label
_atom_site_fract_x
_atom_site_fract_y
_atom_site_fract_z
_atom_site_occupancy
Na1 0.000 0.000 0.000 1
La1 0.157 0.343 0.500 1
S1 0.146 0.646 0.000 1



(8)
# PBE KC3, relaxed
# energy of formation from the pure elements: 0.6186 eV per atom
data_KC3
_symmetry_space_group_name_H-M 'C m m m'
_symmetry_Int_Tables_number 65
_symmetry_space_group_name_Hall '-C 2 2'
_cell_length_a 2.657
_cell_length_b 7.130
_cell_length_c 4.863
_cell_angle_alpha 90.00
_cell_angle_beta 90.00
_cell_angle_gamma 90.00
loop_
_atom_site_label
_atom_site_fract_x
_atom_site_fract_y
_atom_site_fract_z
_atom_site_occupancy
K1 0.000 0.000 0.000 1
C1 0.000 0.307 0.500 1
C2 0.000 0.500 0.500 1



(9)
# PBE TcPd2Au2, relaxed
# energy of formation from the pure elements: 0.5703 eV per atom
data_TcPd2Au2
_symmetry_space_group_name_H-M 'I 4/m m m'
_symmetry_Int_Tables_number 139
_symmetry_space_group_name_Hall '-I 4 2'
_cell_length_a 3.702
_cell_length_b 3.702
_cell_length_c 13.557
_cell_angle_alpha 90.00
_cell_angle_beta 90.00
_cell_angle_gamma 90.00
loop_
_atom_site_label
_atom_site_fract_x
_atom_site_fract_y
_atom_site_fract_z
_atom_site_occupancy
Tc1 0.000 0.000 0.000 1
Pd1 0.000 0.500 0.250 1
Au1 0.000 0.000 0.401 1



(10)
# PBE LiTaTl2O6, relaxed
# E_form (uncorrected): -1.597 eV/atom
data_LiTaTl2O6
_symmetry_space_group_name_H-M 'R 3'
_symmetry_Int_Tables_number 146
_symmetry_space_group_name_Hall 'R 3'
_cell_length_a 5.5584
_cell_length_b 5.5584
_cell_length_c 14.8795
_cell_angle_alpha 90.00
_cell_angle_beta 90.00
_cell_angle_gamma 120.00
loop_
_atom_site_label
_atom_site_fract_x
_atom_site_fract_y
_atom_site_fract_z
_atom_site_occupancy
Li1 0.0000 0.0000 0.0000 1
Ta1 0.0000 0.0000 0.5132 1
Tl1 0.0000 0.0000 0.2409 1
Tl2 0.0000 0.0000 0.7287 1
O1 0.0271 0.7326 0.6098 1
O2 0.0459 0.3428 0.1190 1



(11)
# PBE La2TbPmSm2, relaxed
# energy of formation from the pure elements: 0.2361 eV per atom
data_La2TbPmSm2
_symmetry_space_group_name_H-M 'P n n m'
_symmetry_Int_Tables_number 58
_symmetry_space_group_name_Hall '-P 2 2n'
_cell_length_a 6.734
_cell_length_b 18.274
_cell_length_c 3.459
_cell_angle_alpha 90.00
_cell_angle_beta 90.00
_cell_angle_gamma 90.00
loop_
_atom_site_label
_atom_site_fract_x
_atom_site_fract_y
_atom_site_fract_z
_atom_site_occupancy
La1 0.228 0.185 0.000 1
Tb1 0.000 0.000 0.000 1
Pm1 0.000 0.500 0.000 1
Sm1 0.224 0.355 0.500 1